Compound: LiTbY2Pd4
Source: the Alexandria database
Functional: GGA-PBE
Structure: relaxed

Properties
- final energy (eV/atom) = -5.809
- energy of formation (eV per atom) = -0.7789
- D(E_F) (states/eV/atom) = 0.56
- V (Å³ per atom) = 20.4

```
LiTbY2Pd4
1.0
2.447 1.413 7.866
-2.447 1.413 7.866
0.000 -2.825 7.866
Li Tb Y Pd
1 1 2 4
Direct
0.000 0.000 0.000
0.500 0.500 0.500
0.258 0.258 0.258
0.742 0.742 0.742
0.125 0.125 0.125
0.379 0.379 0.379
0.621 0.621 0.621
0.875 0.875 0.875
```



Compound: RbSbTe3
Source: the Alexandria database
Functional: GGA-PBE
Structure: relaxed

Properties
- distance to the lowest polymorph of the same formula (eV per atom) = 1.534
- final energy (eV/atom) = -1.749
- D(E_F) (states/eV/atom) = 2.14
- ΔE_f (raw) (eV/atom) = 1.1544
- V (Å³ per atom) = 45.9

```
RbSbTe3
1.0
6.121 0.000 0.000
0.000 6.121 0.000
0.000 0.000 6.121
Rb Sb Te
1 1 3
Direct
0.000 0.000 0.000
0.500 0.500 0.500
0.000 0.000 0.500
0.000 0.500 0.000
0.500 0.000 0.000
```



Compound: TcAg3
Source: the Alexandria database
Functional: GGA-PBE
Structure: relaxed

Properties
- distance to the lowest polymorph of the same formula (eV per atom) = 0.299
- final energy (eV/atom) = -4.119
- energy of formation (eV per atom) = 0.6109
- D(E_F) (states/eV/atom) = 0.74
- V (Å³ per atom) = 17.5

```
TcAg3
1.0
-2.115 2.115 3.915
2.115 -2.115 3.915
2.115 2.115 -3.915
Tc Ag
1 3
Direct
0.000 0.000 0.000
0.250 0.750 0.500
0.500 0.500 0.000
0.750 0.250 0.500
```



Compound: Pm2BeGa3Pd4
Source: the Alexandria database
Functional: GGA-PBE
Structure: relaxed

Properties
- final energy (eV/atom) = -5.029
- energy of formation (eV per atom) = -0.7211
- D(E_F) (states/eV/atom) = 0.70
- V (Å³ per atom) = 18.6

```
Pm2BeGa3Pd4
1.0
4.321 0.000 0.000
0.000 4.321 0.000
0.000 0.000 9.966
Pm Be Ga Pd
2 1 3 4
Direct
0.000 0.500 0.246
0.500 0.000 0.754
0.500 0.500 0.000
0.000 0.000 0.000
0.000 0.500 0.634
0.500 0.000 0.366
0.000 0.000 0.500
0.000 0.500 0.883
0.500 0.000 0.117
0.500 0.500 0.500
```



Among the records above, which one has the highest D(E_F)?
RbSbTe3



The lowest final energy belongs to which entry?
LiTbY2Pd4



Which value of V does entry 4 give?
18.6 Å³ per atom



Which of these has the lowest D(E_F)?
LiTbY2Pd4